(1)
The following is a DFT calculation (GGA-PBE) of a relaxed TiSNCl2 crystal.

Output
Calculated total energy ... -4.68 eV/atom
Raw formation energy ... 0.13 eV per atom
Crystal system ... tetragonal

Lattice parameters (Å, degrees): 4.889 4.889 4.618 90.00 90.00 90.00
Atoms (fractional coordinates):
Ti: 0.000 0.000 0.000
N: 0.500 0.500 0.500
S: 0.000 0.000 0.500
Cl: 0.500 0.000 0.000
Cl: 0.000 0.500 0.000

---

(2)
The following is a DFT calculation (GGA-PBE) of a relaxed TiSN2Cl crystal.

Output
Calculated total energy ... -4.45 eV/atom
Raw formation energy ... 1.65 eV per atom
Crystal system ... tetragonal

Lattice parameters (Å, degrees): 3.804 3.804 4.427 90.00 90.00 90.00
Atoms (fractional coordinates):
Cl: 0.000 0.000 0.000
S: 0.000 0.000 0.500
N: 0.500 0.000 0.000
N: 0.000 0.500 0.000
Ti: 0.500 0.500 0.500